No. 1
This record from Alexandria via LeMat-Bulk describes FeCuSeN2 after structural relaxation. The functional is PBE.

Unit cell a=3.530 b=3.530 c=5.390 alpha=90.00 beta=90.00 gamma=90.00
Fractional positions:
Fe (0.000, 0.000, 0.000)
Cu (0.500, 0.500, 0.500)
Se (0.000, 0.000, 0.500)
N (0.000, 0.500, 0.000)
N (0.500, 0.000, 0.000)

The energy relative to the lowest polymorph listed for this composition is 0.0000 eV per atom. The calculation puts the total energy at -29.043 eV for the cell shown. The uncorrected formation energy comes out at 16.84 kcal/mol of atoms.



No. 2
This record from Alexandria via LeMat-Bulk describes FeCuSeN2 after structural relaxation. The functional is PBE.

Unit cell a=3.640 b=3.640 c=5.915 alpha=90.00 beta=90.00 gamma=90.00
Fractional positions:
Fe (0.000, 0.000, 0.000)
Cu (0.500, 0.500, 0.500)
Se (0.500, 0.500, 0.000)
N (0.000, 0.500, 0.500)
N (0.500, 0.000, 0.500)

The energy relative to the lowest polymorph listed for this composition is 0.8141 eV per atom. The calculation puts the total energy at -24.972 eV for the cell shown. The uncorrected formation energy comes out at 35.61 kcal/mol of atoms.



No. 3
This record from Alexandria via LeMat-Bulk describes Sr2FeCuN after structural relaxation. The functional is PBE.

Unit cell a=5.388 b=5.388 c=3.564 alpha=90.00 beta=90.00 gamma=90.00
Fractional positions:
Sr (0.000, 0.500, 0.000)
Sr (0.500, 0.000, 0.000)
Fe (0.000, 0.000, 0.500)
Cu (0.500, 0.500, 0.500)
N (0.000, 0.000, 0.000)

The calculation puts the total energy at -25.372 eV for the cell shown. The uncorrected formation energy comes out at -5.19 kcal/mol of atoms.



No. 4
This record from Alexandria via LeMat-Bulk describes Fe2CuTcN after structural relaxation. The functional is PBE.

Unit cell a=3.808 b=3.808 c=3.986 alpha=90.00 beta=90.00 gamma=90.00
Fractional positions:
Fe (0.000, 0.500, 0.000)
Fe (0.500, 0.000, 0.000)
Cu (0.000, 0.000, 0.500)
Tc (0.500, 0.500, 0.500)
N (0.500, 0.500, 0.000)

The calculation puts the total energy at -39.487 eV for the cell shown. The uncorrected formation energy comes out at 1.04 kcal/mol of atoms.



No. 5
This record from Alexandria via LeMat-Bulk describes FeCuTc2N after structural relaxation. The functional is PBE.

Unit cell a=4.011 b=4.011 c=3.757 alpha=90.00 beta=90.00 gamma=90.00
Fractional positions:
Fe (0.000, 0.000, 0.000)
Cu (0.500, 0.500, 0.000)
Tc (0.000, 0.500, 0.500)
Tc (0.500, 0.000, 0.500)
N (0.000, 0.000, 0.500)

The calculation puts the total energy at -41.143 eV for the cell shown. The uncorrected formation energy comes out at 2.18 kcal/mol of atoms.



No. 6
This record from Alexandria via LeMat-Bulk describes FeCuTeN2 after structural relaxation. The functional is PBE.

Unit cell a=3.610 b=3.610 c=5.590 alpha=90.00 beta=90.00 gamma=90.00
Fractional positions:
Fe (0.000, 0.000, 0.000)
Cu (0.500, 0.500, 0.500)
Te (0.000, 0.000, 0.500)
N (0.000, 0.500, 0.000)
N (0.500, 0.000, 0.000)

The energy relative to the lowest polymorph listed for this composition is 0.0000 eV per atom. The calculation puts the total energy at -28.386 eV for the cell shown. The uncorrected formation energy comes out at 18.29 kcal/mol of atoms.



No. 7
This record from Alexandria via LeMat-Bulk describes FeCuTeN2 after structural relaxation. The functional is PBE.

Unit cell a=3.754 b=3.754 c=5.888 alpha=90.00 beta=90.00 gamma=90.00
Fractional positions:
Fe (0.000, 0.000, 0.000)
Cu (0.500, 0.500, 0.500)
Te (0.500, 0.500, 0.000)
N (0.000, 0.500, 0.500)
N (0.500, 0.000, 0.500)

The energy relative to the lowest polymorph listed for this composition is 0.8488 eV per atom. The calculation puts the total energy at -24.142 eV for the cell shown. The uncorrected formation energy comes out at 37.86 kcal/mol of atoms.



No. 8
This record from Alexandria via LeMat-Bulk describes Y2FeCuN after structural relaxation. The functional is PBE.

Unit cell a=4.886 b=4.886 c=3.576 alpha=90.00 beta=90.00 gamma=90.00
Fractional positions:
Y (0.000, 0.500, 0.000)
Y (0.500, 0.000, 0.000)
Fe (0.000, 0.000, 0.500)
Cu (0.500, 0.500, 0.500)
N (0.000, 0.000, 0.000)

The calculation puts the total energy at -37.135 eV for the cell shown. The uncorrected formation energy comes out at -15.32 kcal/mol of atoms.



Repeat the fourth record exactly.
This record from Alexandria via LeMat-Bulk describes Fe2CuTcN after structural relaxation. The functional is PBE.

Unit cell a=3.808 b=3.808 c=3.986 alpha=90.00 beta=90.00 gamma=90.00
Fractional positions:
Fe (0.000, 0.500, 0.000)
Fe (0.500, 0.000, 0.000)
Cu (0.000, 0.000, 0.500)
Tc (0.500, 0.500, 0.500)
N (0.500, 0.500, 0.000)

The calculation puts the total energy at -39.487 eV for the cell shown. The uncorrected formation energy comes out at 1.04 kcal/mol of atoms.



What did the second record say?
This record from Alexandria via LeMat-Bulk describes FeCuSeN2 after structural relaxation. The functional is PBE.

Unit cell a=3.640 b=3.640 c=5.915 alpha=90.00 beta=90.00 gamma=90.00
Fractional positions:
Fe (0.000, 0.000, 0.000)
Cu (0.500, 0.500, 0.500)
Se (0.500, 0.500, 0.000)
N (0.000, 0.500, 0.500)
N (0.500, 0.000, 0.500)

The energy relative to the lowest polymorph listed for this composition is 0.8141 eV per atom. The calculation puts the total energy at -24.972 eV for the cell shown. The uncorrected formation energy comes out at 35.61 kcal/mol of atoms.



> The lowest uncorrected formation energy belongs to which entry?

Y2FeCuN